1.
## CaNbIr3 (PBE)

Data for a relaxed CaNbIr3 crystal.

Structure (POSCAR):
```
CaNbIr3
1.0
4.8318 0.0000 0.0000
0.0000 4.8318 0.0000
0.0000 0.0000 4.8318
Ca Nb Ir
1 1 3
direct
0.0000 0.0000 0.0000
0.5000 0.5000 0.5000
0.0000 0.5000 0.5000
0.5000 0.0000 0.5000
0.5000 0.5000 0.0000
```

Formation energy from the elements: 663.8 meV per atom
Energy relative to the lowest polymorph listed for this composition: 0 meV per atom

2.
## TlAsSe3 (PBE)

Data for a relaxed TlAsSe3 crystal.

Structure (POSCAR):
```
TlAsSe3
1.0
5.3203 0.0000 0.0000
0.0000 5.3203 0.0000
0.0000 0.0000 5.3203
Tl As Se
1 1 3
direct
0.0000 0.0000 0.0000
0.5000 0.5000 0.5000
0.0000 0.0000 0.5000
0.0000 0.5000 0.0000
0.5000 0.0000 0.0000
```

E_form (uncorrected): 0.95 eV/atom
Energy relative to the lowest polymorph listed for this composition: 1132 meV per atom

3.
## BaPdPb2 (PBE)

Data for a relaxed BaPdPb2 crystal.

Structure (POSCAR):
```
BaPdPb2
1.0
-2.6309 2.6309 9.9439
2.6309 -2.6309 9.9439
2.6309 2.6309 -9.9439
Ba Pd Pb
2 2 4
direct
0.0000 0.0000 0.0000
0.7500 0.2500 0.5000
0.2500 0.7500 0.5000
0.5000 0.5000 0.0000
0.2374 0.6250 0.1124
0.3750 0.4874 0.6124
0.5126 0.1250 0.8876
0.8750 0.7626 0.3876
```

Formation energy from the elements: -224.1 meV per atom

4.
## CaPr2Hg2 (PBE)

Data for a relaxed CaPr2Hg2 crystal.

Structure (POSCAR):
```
CaPr2Hg2
1.0
1.9076 -14.4082 0.0000
1.9076 14.4082 0.0000
0.0000 0.0000 5.4915
Ca Pr Hg
2 4 4
direct
0.1432 0.8568 0.7500
0.8568 0.1432 0.2500
0.0478 0.9522 0.2500
0.2330 0.7670 0.2500
0.7670 0.2330 0.7500
0.9522 0.0478 0.7500
0.3574 0.6426 0.7500
0.4518 0.5482 0.2500
0.5482 0.4518 0.7500
0.6426 0.3574 0.2500
```

Formation energy from the elements: -396.0 meV per atom
Energy relative to the lowest polymorph listed for this composition: 3 meV per atom